#w
Compound: MgBe2Cu2
Source: the Alexandria database
Functional: PBE
Structure: relaxed

Results
As for the crystal system: tetragonal.

```
data_MgBe2Cu2
_symmetry_space_group_name_H-M 'I 4/m m m'
_symmetry_Int_Tables_number 139
_symmetry_space_group_name_Hall '-I 4 2'
_cell_length_a 3.213
_cell_length_b 3.213
_cell_length_c 12.071
_cell_angle_alpha 90.00
_cell_angle_beta 90.00
_cell_angle_gamma 90.00
loop_
_atom_site_label
_atom_site_type_symbol
_atom_site_fract_x
_atom_site_fract_y
_atom_site_fract_z
Mg1 Mg 0.000 0.000 0.000
Be1 Be 0.000 0.500 0.250
Cu1 Cu 0.000 0.000 0.387
```

#x
Compound: MgBe2Cu2
Source: the Alexandria database
Functional: PBE
Structure: relaxed

Results
As for the crystal system: tetragonal.

```
data_MgBe2Cu2
_symmetry_space_group_name_H-M 'P 4/m b m'
_symmetry_Int_Tables_number 127
_symmetry_space_group_name_Hall '-P 4 2ab'
_cell_length_a 6.640
_cell_length_b 6.640
_cell_length_c 2.672
_cell_angle_alpha 90.00
_cell_angle_beta 90.00
_cell_angle_gamma 90.00
loop_
_atom_site_label
_atom_site_type_symbol
_atom_site_fract_x
_atom_site_fract_y
_atom_site_fract_z
Mg1 Mg 0.000 0.000 0.000
Be1 Be 0.153 0.347 0.500
Cu1 Cu 0.138 0.638 0.000
```

The structure with the most favorable energy is #x; the runner-up is 85 meV per atom above it.